# 1
Ca2TlRh PBE optimized geometry; energy relative to the lowest polymorph listed for this composition = 0.0833 eV/atom; total magnetic moment = 0.00 μB per cell; mass density = 6.1 g/cm³; formation energy from the elements = -288 meV per atom
1.0
3.510 0.000 0.000
0.000 4.975 0.000
0.000 0.000 11.991
Ca Tl Rh
4 2 2
Direct
0.000 0.000 0.000
0.000 0.500 0.200
0.500 0.000 0.700
0.500 0.500 0.500
0.000 0.500 0.814
0.500 0.000 0.314
0.000 0.000 0.498
0.500 0.500 0.998



# 2
PuGa2Pt PBE optimized geometry; total magnetic moment = 22.37 μB per cell; mass density = 12.9 g/cm³; formation energy from the elements = -450 meV per atom
1.0
6.672 0.000 0.000
0.000 6.672 0.000
0.000 0.000 6.672
Pu Ga Pt
4 8 4
Direct
0.000 0.000 0.000
0.000 0.500 0.500
0.500 0.000 0.500
0.500 0.500 0.000
0.250 0.250 0.250
0.250 0.250 0.750
0.250 0.750 0.250
0.250 0.750 0.750
0.750 0.250 0.250
0.750 0.250 0.750
0.750 0.750 0.250
0.750 0.750 0.750
0.000 0.000 0.500
0.000 0.500 0.000
0.500 0.000 0.000
0.500 0.500 0.500



# 3
ScFeNiP2 PBE optimized geometry; total magnetic moment = 2.46 μB per cell; mass density = 5.6 g/cm³; formation energy from the elements = -908 meV per atom
1.0
3.746 0.000 0.000
0.000 3.746 0.000
0.000 0.000 9.319
Sc Fe Ni P
2 2 2 4
Direct
0.000 0.000 0.000
0.500 0.500 0.500
0.000 0.500 0.250
0.500 0.000 0.750
0.000 0.500 0.750
0.500 0.000 0.250
0.000 0.000 0.379
0.000 0.000 0.621
0.500 0.500 0.121
0.500 0.500 0.879